This record from Alexandria via LeMat-Bulk describes crystalline CoCu2F2 at its relaxed geometry. The functional is GGA+U.

abc: 6.7741 6.7741 2.5984
angles: 90.00 90.00 90.00
Space group P4/mbm (No. 127)
Symmetry-distinct sites (fractional):
Co: 0.0000 0.0000 0.0000 (multiplicity 2)
Cu: 0.1458 0.3542 0.0000 (multiplicity 4)
F: 0.1421 0.6421 0.5000 (multiplicity 4)

**Crystal system**: tetragonal
**Final energy**: -3.620 eV/atom
**Magnetic moment**: 2.3 μB per formula unit